Below is crystalline KVCd2F8 at its relaxed geometry, with properties calculated at the GGA+U level.

The structure in CIF format:
```
data_KVCd2F8
_chemical_formula_sum 'K1 V1 Cd2 F8'
_cell_length_a 5.0951
_cell_length_b 5.1605
_cell_length_c 7.2139
_cell_angle_alpha 89.93
_cell_angle_beta 89.93
_cell_angle_gamma 89.18
_space_group_name_H-M_alt 'P -1'
_space_group_IT_number 2
loop_
_space_group_symop_operation_xyz
'x,y,z'
'-x,-y,-z'
loop_
_atom_site_label
_atom_site_type_symbol
_atom_site_fract_x
_atom_site_fract_y
_atom_site_fract_z
K1 K 0.0000 0.0000 0.0000
V1 V 0.0000 0.0000 0.5000
Cd1 Cd 0.5000 0.4999 0.2544
F1 F 0.1690 0.7873 0.6931
F2 F 0.1697 0.7881 0.3070
F3 F 0.3002 0.2634 0.5001
F4 F 0.3821 0.2821 0.0002
```

Properties
**Size of the total moment**: 2.00 μB/f.u.
**Mass density**: 4.09 g/cm3
**E_tot**: -55.5 eV/cell
**N(E_F)**: 0.000 states/eV per cell